VASP calculation (PBE) on a geometry-optimized Ac4TlIrI2 structure.

ΔE_f (raw) (eV/atom): -0.836

a b c (Å): 8.2978 4.4836 8.9677
angles (deg): 90.00 107.33 90.00
Last column: nearest neighbours and their distance in Å.
Fractional coordinates of all 8 atoms:
Ac (0.2132, 0.0000, 0.1893)  2 Ir 3.04, 1 Tl 3.31
Ac (0.2231, 0.5000, 0.8030)  1 Ir 2.91
Ac (0.7769, 0.5000, 0.1970)  1 Ir 2.91
Ac (0.7868, 0.0000, 0.8107)  2 Ir 3.04, 1 Tl 3.31
Tl (0.5000, 0.0000, 0.0000)  6 Ac 3.31-3.32
Ir (0.0000, 0.5000, 0.0000)  6 Ac 2.91-3.04
I (0.0000, 0.0000, 0.5000)  6 Ac 3.58-3.72
I (0.5000, 0.5000, 0.5000)  6 Ac 3.81-4.05

---

VASP calculation (PBE) on a geometry-optimized Pa2CuRu structure.

ΔE to the lowest computed polymorph (kJ/mol of atoms): 0.0
Formation energy from the elements (eV/atom): -0.1121

a b c (Å): 4.7333 4.7333 3.5623
angles (deg): 90.00 90.00 90.00
Last column: nearest neighbours and their distance in Å.
Fractional coordinates of all 4 atoms:
Pa (0.0000, 0.5000, 0.0000)  4 Ru 2.96, 4 Cu 2.96
Pa (0.5000, 0.0000, 0.0000)  4 Ru 2.96, 4 Cu 2.96
Cu (0.0000, 0.0000, 0.5000)  8 Pa 2.96
Ru (0.5000, 0.5000, 0.5000)  8 Pa 2.96

---

VASP calculation (PBE) on a geometry-optimized Gd5Tm3H12 structure.

Electronic total energy (eV per atom): -6.66

a b c (Å): 11.3000 11.3000 11.3000
angles (deg): 109.47 109.47 109.47
Last column: nearest neighbours and their distance in Å.
Fractional coordinates of all 80 atoms:
Gd (0.0000, 0.0000, 0.0000)  6 H 2.25
Gd (0.0000, 0.0000, 0.5000)  6 H 2.25
Gd (0.0000, 0.5000, 0.0000)  6 H 2.25
Gd (0.0000, 0.5000, 0.5000)  6 H 2.25
Gd (0.1250, 0.7500, 0.8750)  4 H 2.23
Gd (0.1250, 0.8750, 0.2500)  4 H 2.23
Gd (0.2500, 0.1250, 0.8750)  4 H 2.23
Gd (0.2500, 0.6250, 0.3750)  4 H 2.23
Gd (0.3750, 0.2500, 0.6250)  4 H 2.23
Gd (0.3750, 0.6250, 0.7500)  4 H 2.23
Gd (0.5000, 0.0000, 0.0000)  6 H 2.25
Gd (0.5000, 0.0000, 0.5000)  6 H 2.25
Gd (0.5000, 0.5000, 0.0000)  6 H 2.25
Gd (0.5000, 0.5000, 0.5000)  6 H 2.25
Gd (0.6250, 0.3750, 0.2500)  4 H 2.23
Gd (0.6250, 0.7500, 0.3750)  4 H 2.23
Gd (0.7500, 0.3750, 0.6250)  4 H 2.23
Gd (0.7500, 0.8750, 0.1250)  4 H 2.23
Gd (0.8750, 0.1250, 0.7500)  4 H 2.23
Gd (0.8750, 0.2500, 0.1250)  4 H 2.23
Tm (0.1250, 0.2500, 0.3750)  8 H 2.23-2.38
Tm (0.1250, 0.3750, 0.7500)  8 H 2.23-2.38
Tm (0.2500, 0.3750, 0.1250)  8 H 2.23-2.38
Tm (0.2500, 0.8750, 0.6250)  8 H 2.23-2.38
Tm (0.3750, 0.1250, 0.2500)  8 H 2.23-2.38
Tm (0.3750, 0.7500, 0.1250)  8 H 2.23-2.38
Tm (0.6250, 0.2500, 0.8750)  8 H 2.23-2.38
Tm (0.6250, 0.8750, 0.7500)  8 H 2.23-2.38
Tm (0.7500, 0.1250, 0.3750)  8 H 2.23-2.38
Tm (0.7500, 0.6250, 0.8750)  8 H 2.23-2.38
Tm (0.8750, 0.6250, 0.2500)  8 H 2.23-2.38
Tm (0.8750, 0.7500, 0.6250)  8 H 2.23-2.38
H (0.0703, 0.2274, 0.1572)  2 Tm 2.23-2.38, 2 Gd 2.23-2.25, 1 H 2.23
H (0.0703, 0.3430, 0.9132)  2 Tm 2.23-2.38, 2 Gd 2.23-2.25, 1 H 2.23
H (0.0702, 0.7274, 0.6570)  2 Tm 2.23-2.38, 2 Gd 2.23-2.25, 1 H 2.23
H (0.0702, 0.8428, 0.4132)  2 Tm 2.23-2.38, 2 Gd 2.23-2.25, 1 H 2.23
H (0.0868, 0.6572, 0.4298)  2 Tm 2.23-2.38, 2 Gd 2.23-2.25, 1 H 2.23
H (0.0868, 0.9297, 0.6570)  2 Tm 2.23-2.38, 2 Gd 2.23-2.25, 1 H 2.23
H (0.1572, 0.0703, 0.2274)  2 Tm 2.23-2.38, 2 Gd 2.23-2.25, 1 H 2.23
H (0.1570, 0.2274, 0.5702)  2 Tm 2.23-2.38, 2 Gd 2.23-2.25, 1 H 2.23
H (0.1570, 0.4297, 0.5868)  2 Tm 2.23-2.38, 2 Gd 2.23-2.25, 1 H 2.23
H (0.1572, 0.5868, 0.9298)  2 Tm 2.23-2.38, 2 Gd 2.23-2.25, 1 H 2.23
H (0.2274, 0.1572, 0.0703)  2 Tm 2.23-2.38, 2 Gd 2.23-2.25, 1 H 2.23
H (0.2274, 0.5702, 0.1570)  2 Tm 2.23-2.38, 2 Gd 2.23-2.25, 1 H 2.23
H (0.2726, 0.3430, 0.9298)  2 Tm 2.23-2.38, 2 Gd 2.23-2.25, 1 H 2.23
H (0.2726, 0.4297, 0.3428)  2 Tm 2.23-2.38, 2 Gd 2.23-2.25, 1 H 2.23
H (0.3428, 0.2726, 0.4297)  2 Tm 2.23-2.38, 2 Gd 2.23-2.25, 1 H 2.23
H (0.3428, 0.5702, 0.9132)  2 Tm 2.23-2.38, 2 Gd 2.23-2.25, 1 H 2.23
H (0.3430, 0.9132, 0.0703)  2 Tm 2.23-2.38, 2 Gd 2.23-2.25, 1 H 2.23
H (0.3430, 0.9298, 0.2726)  2 Tm 2.23-2.38, 2 Gd 2.23-2.25, 1 H 2.23
H (0.4132, 0.0702, 0.8428)  2 Tm 2.23-2.38, 2 Gd 2.23-2.25, 1 H 2.23
H (0.4132, 0.8430, 0.5703)  2 Tm 2.23-2.38, 2 Gd 2.23-2.25, 1 H 2.23
H (0.4298, 0.0868, 0.6572)  2 Tm 2.23-2.38, 2 Gd 2.23-2.25, 1 H 2.23
H (0.4297, 0.3428, 0.2726)  2 Tm 2.23-2.38, 2 Gd 2.23-2.25, 1 H 2.23
H (0.4297, 0.5868, 0.1570)  2 Tm 2.23-2.38, 2 Gd 2.23-2.25, 1 H 2.23
H (0.4298, 0.8430, 0.7726)  2 Tm 2.23-2.38, 2 Gd 2.23-2.25, 1 H 2.23
H (0.5702, 0.1570, 0.2274)  2 Tm 2.23-2.38, 2 Gd 2.23-2.25, 1 H 2.23
H (0.5703, 0.4132, 0.8430)  2 Tm 2.23-2.38, 2 Gd 2.23-2.25, 1 H 2.23
H (0.5703, 0.6572, 0.7274)  2 Tm 2.23-2.38, 2 Gd 2.23-2.25, 1 H 2.23
H (0.5702, 0.9132, 0.3428)  2 Tm 2.23-2.38, 2 Gd 2.23-2.25, 1 H 2.23
H (0.5868, 0.1570, 0.4297)  2 Tm 2.23-2.38, 2 Gd 2.23-2.25, 1 H 2.23
H (0.5868, 0.9298, 0.1572)  2 Tm 2.23-2.38, 2 Gd 2.23-2.25, 1 H 2.23
H (0.6570, 0.0702, 0.7274)  2 Tm 2.23-2.38, 2 Gd 2.23-2.25, 1 H 2.23
H (0.6570, 0.0868, 0.9297)  2 Tm 2.23-2.38, 2 Gd 2.23-2.25, 1 H 2.23
H (0.6572, 0.4298, 0.0868)  2 Tm 2.23-2.38, 2 Gd 2.23-2.25, 1 H 2.23
H (0.6572, 0.7274, 0.5703)  2 Tm 2.23-2.38, 2 Gd 2.23-2.25, 1 H 2.23
H (0.7274, 0.5703, 0.6572)  2 Tm 2.23-2.38, 2 Gd 2.23-2.25, 1 H 2.23
H (0.7274, 0.6570, 0.0702)  2 Tm 2.23-2.38, 2 Gd 2.23-2.25, 1 H 2.23
H (0.7726, 0.4298, 0.8430)  2 Tm 2.23-2.38, 2 Gd 2.23-2.25, 1 H 2.23
H (0.7726, 0.8428, 0.9297)  2 Tm 2.23-2.38, 2 Gd 2.23-2.25, 1 H 2.23
H (0.8428, 0.4132, 0.0702)  2 Tm 2.23-2.38, 2 Gd 2.23-2.25, 1 H 2.23
H (0.8430, 0.5703, 0.4132)  2 Tm 2.23-2.38, 2 Gd 2.23-2.25, 1 H 2.23
H (0.8430, 0.7726, 0.4298)  2 Tm 2.23-2.38, 2 Gd 2.23-2.25, 1 H 2.23
H (0.8428, 0.9297, 0.7726)  2 Tm 2.23-2.38, 2 Gd 2.23-2.25, 1 H 2.23
H (0.9132, 0.0703, 0.3430)  2 Tm 2.23-2.38, 2 Gd 2.23-2.25, 1 H 2.23
H (0.9132, 0.3428, 0.5702)  2 Tm 2.23-2.38, 2 Gd 2.23-2.25, 1 H 2.23
H (0.9298, 0.1572, 0.5868)  2 Tm 2.23-2.38, 2 Gd 2.23-2.25, 1 H 2.23
H (0.9298, 0.2726, 0.3430)  2 Tm 2.23-2.38, 2 Gd 2.23-2.25, 1 H 2.23
H (0.9297, 0.6570, 0.0868)  2 Tm 2.23-2.38, 2 Gd 2.23-2.25, 1 H 2.23
H (0.9297, 0.7726, 0.8428)  2 Tm 2.23-2.38, 2 Gd 2.23-2.25, 1 H 2.23

---

VASP calculation (PBE) on a geometry-optimized TcIrPb4 structure.

Formation energy from the elements (eV/atom): 1.3582

a b c (Å): 6.1396 6.1396 6.1396
angles (deg): 60.00 60.00 60.00
Last column: nearest neighbours and their distance in Å.
Fractional coordinates of all 6 atoms:
Tc (0.0000, 0.0000, 0.0000)  12 Pb 3.60, 4 Ir 3.76
Ir (0.7500, 0.7500, 0.7500)  12 Pb 3.60, 4 Tc 3.76
Pb (0.3752, 0.3752, 0.3752)  6 Pb 3.06-3.08
Pb (0.3752, 0.3752, 0.8743)  6 Pb 3.06-3.08
Pb (0.3752, 0.8743, 0.3752)  6 Pb 3.06-3.08
Pb (0.8743, 0.3752, 0.3752)  6 Pb 3.06-3.08

---

VASP calculation (PBE) on a geometry-optimized DyAlO3 structure.

ΔE_f (raw) (eV/atom): -3.303

a b c (Å): 5.2323 5.2323 5.2323
angles (deg): 60.94 60.94 60.94
Last column: nearest neighbours and their distance in Å.
Fractional coordinates of all 10 atoms:
Dy (0.2500, 0.2500, 0.2500)  3 O 2.25
Dy (0.7500, 0.7500, 0.7500)  3 O 2.25
Al (0.0000, 0.0000, 0.0000)  6 O 1.91
Al (0.5000, 0.5000, 0.5000)  6 O 1.91
O (0.1745, 0.7500, 0.3255)  2 Al 1.91
O (0.2500, 0.6745, 0.8255)  2 Al 1.91
O (0.3255, 0.1745, 0.7500)  2 Al 1.91
O (0.6745, 0.8255, 0.2500)  2 Al 1.91
O (0.7500, 0.3255, 0.1745)  2 Al 1.91
O (0.8255, 0.2500, 0.6745)  2 Al 1.91

---

VASP calculation (PBE) on a geometry-optimized Cd2HgPt9 structure.

Formation energy from the elements (eV/atom): -0.1056

a b c (Å): 4.0429 4.0429 12.1812
angles (deg): 90.00 90.00 90.00
Last column: nearest neighbours and their distance in Å.
Fractional coordinates of all 12 atoms:
Cd (0.0000, 0.0000, 0.1660)  12 Pt 2.85-2.86
Cd (0.0000, 0.0000, 0.8340)  12 Pt 2.85-2.86
Hg (0.0000, 0.0000, 0.5000)  12 Pt 2.86-2.88
Pt (0.0000, 0.5000, 0.0000)  8 Pt 2.85-2.86, 4 Cd 2.86
Pt (0.0000, 0.5000, 0.3311)  2 Cd 2.85, 8 Pt 2.86-2.88, 2 Hg 2.88
Pt (0.0000, 0.5000, 0.6689)  2 Cd 2.85, 8 Pt 2.86-2.88, 2 Hg 2.88
Pt (0.5000, 0.0000, 0.0000)  8 Pt 2.85-2.86, 4 Cd 2.86
Pt (0.5000, 0.0000, 0.3311)  2 Cd 2.85, 8 Pt 2.86-2.88, 2 Hg 2.88
Pt (0.5000, 0.0000, 0.6689)  2 Cd 2.85, 8 Pt 2.86-2.88, 2 Hg 2.88
Pt (0.5000, 0.5000, 0.1652)  8 Pt 2.85-2.86, 4 Cd 2.86
Pt (0.5000, 0.5000, 0.5000)  4 Hg 2.86, 8 Pt 2.88
Pt (0.5000, 0.5000, 0.8348)  8 Pt 2.85-2.86, 4 Cd 2.86

---

VASP calculation (PBE) on a geometry-optimized La3GaO structure.

ΔE_f (raw) (eV/atom): -1.197

a b c (Å): 7.6932 7.6932 7.6932
angles (deg): 53.60 53.60 53.60
Last column: nearest neighbours and their distance in Å.
Fractional coordinates of all 10 atoms:
La (0.0744, 0.4566, 0.6916)  2 O 2.58-2.64
La (0.3084, 0.9256, 0.5434)  2 O 2.58-2.64
La (0.4566, 0.6916, 0.0744)  2 O 2.58-2.64
La (0.5434, 0.3084, 0.9256)  2 O 2.58-2.64
La (0.6916, 0.0744, 0.4566)  2 O 2.58-2.64
La (0.9256, 0.5434, 0.3084)  2 O 2.58-2.64
Ga (0.1427, 0.1427, 0.1427)  6 La 2.98-3.15
Ga (0.8573, 0.8573, 0.8573)  6 La 2.98-3.15
O (0.3362, 0.3362, 0.3362)  6 La 2.58-2.64
O (0.6638, 0.6638, 0.6638)  6 La 2.58-2.64

---

VASP calculation (PBE) on a geometry-optimized TcNi2Au2 structure.

Formation energy from the elements (eV/atom): 0.3807

a b c (Å): 6.3388 6.3388 3.7410
angles (deg): 90.00 90.00 90.00
Last column: nearest neighbours and their distance in Å.
Fractional coordinates of all 10 atoms:
Tc (0.0000, 0.0000, 0.0000)  4 Ni 2.49
Tc (0.5000, 0.5000, 0.0000)  4 Ni 2.49
Ni (0.1301, 0.3699, 0.0000)  1 Ni 2.33, 2 Tc 2.49, 2 Au 2.58
Ni (0.3699, 0.8699, 0.0000)  1 Ni 2.33, 2 Tc 2.49, 2 Au 2.58
Ni (0.6301, 0.1301, 0.0000)  1 Ni 2.33, 2 Tc 2.49, 2 Au 2.58
Ni (0.8699, 0.6301, 0.0000)  1 Ni 2.33, 2 Tc 2.49, 2 Au 2.58
Au (0.1724, 0.6724, 0.5000)  6 Ni 2.58-2.69
Au (0.3276, 0.1724, 0.5000)  6 Ni 2.58-2.69
Au (0.6724, 0.8276, 0.5000)  6 Ni 2.58-2.69
Au (0.8276, 0.3276, 0.5000)  6 Ni 2.58-2.69